(1)
Below is a crystal of CuSbRu3 relaxed with PBEsol, with properties calculated at the SCAN level.

a = 4.399 Å, b = 4.399 Å, c = 4.399 Å
α = 90.00°, β = 90.00°, γ = 90.00°
Positions (direct):
Cu1 0.000 0.000 0.000
Sb1 0.500 0.500 0.500
Ru1 0.000 0.000 0.500
Ru2 0.000 0.500 0.000
Ru3 0.500 0.000 0.000

Final energy: -149.9 eV/cell
Raw formation energy: 1415.2 meV/atom
Space-group type: Pm-3m (221)
Crystal system: cubic
D(E_F): 1.296 states/eV/atom

---

(2)
Below is a crystal of YCuSi2 relaxed with PBEsol, with properties calculated at the SCAN level.

a = 3.246 Å, b = 3.246 Å, c = 6.282 Å
α = 90.00°, β = 90.00°, γ = 90.00°
Positions (direct):
Y1 0.000 0.000 0.000
Cu1 0.000 0.000 0.500
Si1 0.500 0.500 0.312
Si2 0.500 0.500 0.688

Final energy: -63.7 eV/cell
Raw formation energy: -144.7 meV/atom
Space-group type: P4/mmm (123)
Crystal system: tetragonal
D(E_F): 0.488 states/eV/atom

---

(3)
Below is a crystal of Y2HfF relaxed with PBEsol, with properties calculated at the SCAN level.

a = 5.084 Å, b = 5.084 Å, c = 5.084 Å
α = 60.00°, β = 60.00°, γ = 60.00°
Positions (direct):
Y1 0.250 0.250 0.250
Y2 0.750 0.750 0.750
Hf1 0.000 0.000 0.000
F1 0.500 0.500 0.500

Final energy: -121.7 eV/cell
Raw formation energy: 39.8 meV/atom
Space-group type: Fm-3m (225)
Crystal system: cubic
D(E_F): 1.415 states/eV/atom

---

(4)
Below is a crystal of Sr8RuRh3O16 relaxed with PBEsol, with properties calculated at the SCAN level.

a = 13.422 Å, b = 13.422 Å, c = 13.422 Å
α = 156.72°, β = 156.72°, γ = 33.16°
Positions (direct):
Sr1 0.074 0.574 0.500
Sr2 0.175 0.175 0.000
Sr3 0.325 0.325 0.000
Sr4 0.426 0.926 0.500
Sr5 0.574 0.074 0.500
Sr6 0.675 0.675 0.000
Sr7 0.825 0.825 0.000
Sr8 0.926 0.426 0.500
Ru1 0.750 0.250 0.500
Rh1 0.000 0.000 0.000
Rh2 0.250 0.750 0.500
Rh3 0.500 0.500 0.000
O1 0.043 0.451 0.994
O2 0.080 0.080 0.000
O3 0.170 0.670 0.500
O4 0.198 0.698 0.896
O5 0.302 0.198 0.500
O6 0.330 0.830 0.500
O7 0.420 0.420 0.000
O8 0.457 0.049 0.006
O9 0.549 0.543 0.591
O10 0.580 0.580 0.000
O11 0.671 0.171 0.500
O12 0.698 0.802 0.500
O13 0.802 0.302 0.104
O14 0.829 0.329 0.500
O15 0.920 0.920 0.000
O16 0.951 0.957 0.409

Final energy: -478.6 eV/cell
Raw formation energy: -2305.5 meV/atom
Space-group type: I-4 (82)
Crystal system: tetragonal
D(E_F): 0.324 states/eV/atom

---

(5)
Below is a crystal of TlFeW relaxed with PBEsol, with properties calculated at the SCAN level.

a = 4.329 Å, b = 4.329 Å, c = 4.329 Å
α = 60.00°, β = 60.00°, γ = 60.00°
Positions (direct):
Tl1 0.000 0.000 0.000
Fe1 0.500 0.500 0.500
W1 0.750 0.750 0.750

Final energy: -156.2 eV/cell
Space-group type: F-43m (216)
Crystal system: cubic
ΔH_f (0 K): 30.84 kcal/mol of atoms
D(E_F): 0.810 states/eV/atom

---

(6)
Below is a crystal of TcHgN3 relaxed with PBEsol, with properties calculated at the SCAN level.

a = 4.100 Å, b = 4.100 Å, c = 4.100 Å
α = 90.00°, β = 90.00°, γ = 90.00°
Positions (direct):
Tc1 0.000 0.000 0.000
Hg1 0.500 0.500 0.500
N1 0.000 0.500 0.500
N2 0.500 0.000 0.500
N3 0.500 0.500 0.000

Final energy: -117.2 eV/cell
Raw formation energy: 2780.7 meV/atom
Space-group type: Pm-3m (221)
Crystal system: cubic
D(E_F): 0.489 states/eV/atom

---

(7)
Below is a crystal of NbTlAg3 relaxed with PBEsol, with properties calculated at the SCAN level.

a = 5.033 Å, b = 5.033 Å, c = 5.033 Å
α = 90.00°, β = 90.00°, γ = 90.00°
Positions (direct):
Nb1 0.000 0.000 0.000
Tl1 0.500 0.500 0.500
Ag1 0.000 0.500 0.500
Ag2 0.500 0.000 0.500
Ag3 0.500 0.500 0.000

Final energy: -193.1 eV/cell
Space-group type: Pm-3m (221)
Crystal system: cubic
ΔH_f (0 K): 29.95 kcal/mol of atoms
D(E_F): 0.588 states/eV/atom

---

(8)
Below is a crystal of SeBr relaxed with PBEsol, with properties calculated at the SCAN level.

a = 16.193 Å, b = 3.817 Å, c = 3.817 Å
α = 114.95°, β = 90.00°, γ = 90.00°
Positions (direct):
Se1 0.048 0.145 0.855
Se2 0.452 0.645 0.355
Se3 0.548 0.355 0.645
Se4 0.952 0.855 0.145
Br1 0.164 0.678 0.657
Br2 0.336 0.178 0.157
Br3 0.664 0.157 0.178
Br4 0.836 0.657 0.678

Final energy: -158.5 eV/cell
Raw formation energy: -46.3 meV/atom
Space-group type: Aea2 (41)
Crystal system: orthorhombic